The following is a PBE-GGA calculation of an optimized crystal structure of NaPr2Sc, from Alexandria via LeMat-Bulk.

Geometry as CIF:
```
data_NaPr2Sc
_chemical_formula_sum 'Na1 Pr2 Sc1'
_space_group_name_H-M_alt 'P 4/m m m'
_space_group_IT_number 123
_space_group_name_Hall '-P 4 2'
_cell_length_a 3.897
_cell_length_b 3.897
_cell_length_c 8.946
_cell_angle_alpha 90.00
_cell_angle_beta 90.00
_cell_angle_gamma 90.00
loop_
_atom_site_label
_atom_site_type_symbol
_atom_site_fract_x
_atom_site_fract_y
_atom_site_fract_z
_atom_site_occupancy
Na1 Na 0.000 0.000 0.000 1
Pr1 Pr 0.500 0.500 0.285 1
Sc1 Sc 0.000 0.000 0.500 1
```

Properties
Total magnetic moment (Bohr magnetons per cell): 0.0
Formation energy (eV per atom): 0.13
Distance to the lowest polymorph of the same formula (eV/f.u.): 0.00
Raw total energy (eV per atom): -4.17

***

The following is a PBE-GGA calculation of an optimized crystal structure of AcLaTb2, from Alexandria via LeMat-Bulk.

Geometry as CIF:
```
data_AcLaTb2
_chemical_formula_sum 'Ac1 La1 Tb2'
_space_group_name_H-M_alt 'P 4/m m m'
_space_group_IT_number 123
_space_group_name_Hall '-P 4 2'
_cell_length_a 5.324
_cell_length_b 5.324
_cell_length_c 5.091
_cell_angle_alpha 90.00
_cell_angle_beta 90.00
_cell_angle_gamma 90.00
loop_
_atom_site_label
_atom_site_type_symbol
_atom_site_fract_x
_atom_site_fract_y
_atom_site_fract_z
_atom_site_occupancy
Ac1 Ac 0.000 0.000 0.000 1
La1 La 0.500 0.500 0.000 1
Tb1 Tb 0.000 0.500 0.500 1
```

Properties
Total magnetic moment (Bohr magnetons per cell): 0.0
Formation energy (eV per atom): 0.04
Distance to the lowest polymorph of the same formula (eV/f.u.): 0.01
Raw total energy (eV per atom): -4.54

***

The following is a PBE-GGA calculation of an optimized crystal structure of Ac2TmC2Br2, from Alexandria via LeMat-Bulk.

Geometry as CIF:
```
data_Ac2TmC2Br2
_chemical_formula_sum 'Ac4 Tm2 C4 Br4'
_space_group_name_H-M_alt 'I 4/m m m'
_space_group_IT_number 139
_space_group_name_Hall '-I 4 2'
_cell_length_a 4.616
_cell_length_b 4.616
_cell_length_c 16.442
_cell_angle_alpha 90.00
_cell_angle_beta 90.00
_cell_angle_gamma 90.00
loop_
_atom_site_label
_atom_site_type_symbol
_atom_site_fract_x
_atom_site_fract_y
_atom_site_fract_z
_atom_site_occupancy
Ac1 Ac 0.000 0.000 0.102 1
Tm1 Tm 0.000 0.000 0.500 1
C1 C 0.000 0.500 0.000 1
Br1 Br 0.000 0.000 0.316 1
```

Properties
Total magnetic moment (Bohr magnetons per cell): 0.0
Formation energy without anion corrections (eV/atom): -0.763
Raw total energy (eV per atom): -5.69

***

The following is a PBE-GGA calculation of an optimized crystal structure of KCa2TcC, from Alexandria via LeMat-Bulk.

Geometry as CIF:
```
data_KCa2TcC
_chemical_formula_sum 'K1 Ca2 Tc1 C1'
_space_group_name_H-M_alt 'P 4/m m m'
_space_group_IT_number 123
_space_group_name_Hall '-P 4 2'
_cell_length_a 5.048
_cell_length_b 5.048
_cell_length_c 5.546
_cell_angle_alpha 90.00
_cell_angle_beta 90.00
_cell_angle_gamma 90.00
loop_
_atom_site_label
_atom_site_type_symbol
_atom_site_fract_x
_atom_site_fract_y
_atom_site_fract_z
_atom_site_occupancy
K1 K 0.000 0.000 0.000 1
Ca1 Ca 0.000 0.500 0.500 1
Tc1 Tc 0.500 0.500 0.000 1
C1 C 0.000 0.000 0.500 1
```

Properties
Total magnetic moment (Bohr magnetons per cell): 4.1
Formation energy (eV per atom): 1.22
Raw total energy (eV per atom): -3.72